# 1
Be2Pd: relaxed, GGA-PBE.

Calculated values
E_tot = -4.63 eV/atom
V = 10.09 Å³/atom
Calculated density = 6.8 g cm⁻³
SG = I4_1/amd, No. 141

Cell: 4.405 4.405 4.406 Å, 119.94 119.94 90.00°
Sites, in units of the cell vectors:
Be 0.500 0.000 0.500
Pd 0.375 0.625 0.750
Be 0.000 0.000 0.000
Be 0.000 0.000 0.500
Pd 0.625 0.375 0.250
Be 0.000 0.500 0.000

# 2
Ho2ZnTe2S2O14: relaxed, GGA-PBE.

Calculated values
E_tot = -6.39 eV/atom
V = 13.06 Å³/atom
Magnetization = 0.0 μB per formula unit
Calculated density = 5.7 g cm⁻³
SG = P-1, No. 2

Cell: 5.205 7.720 7.975 Å, 63.48 73.32 85.07°
Sites, in units of the cell vectors:
Te 0.494 0.729 0.654
O 0.275 0.195 0.242
Ho 0.930 0.747 0.984
S 0.251 0.748 0.254
O 0.864 0.240 0.559
O 0.544 0.732 0.223
O 0.456 0.268 0.777
Zn 0.000 0.000 0.500
O 0.816 0.078 0.912
S 0.749 0.252 0.746
O 0.128 0.582 0.254
O 0.136 0.760 0.441
O 0.872 0.418 0.746
O 0.751 0.441 0.108
O 0.725 0.805 0.758
Ho 0.070 0.253 0.016
O 0.741 0.066 0.334
O 0.259 0.934 0.666
O 0.184 0.922 0.088
Te 0.506 0.271 0.346
O 0.249 0.559 0.892

# 3
Y3Ir3Br2: relaxed, GGA-PBE.

Calculated values
E_tot = -6.68 eV/atom
V = 22.56 Å³/atom
Magnetization = 2.9 μB per formula unit
Calculated density = 9.2 g cm⁻³
SG = R-3m, No. 166

Cell: 8.320 8.320 8.320 Å, 36.28 36.28 36.28°
Last column: magnetic moment on the atom in μB.
Sites, in units of the cell vectors:
Br 0.805 0.805 0.805  0.00
Ir 0.500 0.000 0.500  0.62
Ir 0.500 0.500 0.000  0.48
Y 0.500 0.500 0.500  0.58
Ir 0.000 0.500 0.500  0.40
Br 0.195 0.195 0.195  0.00
Y 0.068 0.068 0.068  0.07
Y 0.932 0.932 0.932  0.07

# 4
CsPPdO4: relaxed, GGA-PBE.

Calculated values
E_tot = -6.18 eV/atom
V = 20.58 Å³/atom
Calculated density = 3.9 g cm⁻³
SG = I4/mcm, No. 140

Cell: 7.428 7.428 7.428 Å, 120.37 120.37 89.36°
Sites, in units of the cell vectors:
Cs 0.750 0.750 0.000
O 0.726 0.459 0.500
Pd 0.000 0.500 0.500
O 0.774 0.274 0.733
P 0.250 0.750 0.500
O 0.041 0.774 0.500
Pd 0.500 0.000 0.500
O 0.274 0.541 0.500
O 0.226 0.726 0.267
Cs 0.250 0.250 0.000
P 0.750 0.250 0.500
O 0.959 0.226 0.500
O 0.541 0.041 0.267
O 0.459 0.959 0.733

Which of these has the highest E_tot?
Be2Pd

Among the records above, which one has the lowest calculated density?
CsPPdO4